No. 1
Here is an optimized crystal structure of Y2Th2Sc15 from Alexandria. Energies are from PBE.

The structure in POSCAR format:
```
Y2Th2Sc15
1.0
-5.742 -0.506 5.706
-5.030 -4.944 -4.005
2.466 -6.958 3.360
Sc Y Th
15 2 2
Cartesian
-2.518 -5.619 -1.537
-1.680 -7.523 3.314
-5.269 -3.457 -0.751
-2.992 -2.668 4.920
1.233 -3.479 1.680
-6.626 -4.885 1.746
-5.212 -6.574 -0.156
-0.046 -6.283 0.892
-5.547 -4.484 4.419
-2.759 -7.924 0.641
-0.284 -4.796 4.146
-3.095 -5.834 5.216
-2.871 -0.253 2.853
-2.515 -2.472 -2.003
-5.504 -1.993 2.452
-7.390 -11.039 4.502
-0.916 -1.369 0.558
-5.374 -8.027 3.274
-2.932 -4.381 1.787
```

Output
**Symmetry**: R-3m, No. 166
**E**: -6.198 eV per atom
**Formation energy**: 262 meV per atom

=====

No. 2
Here is an optimized crystal structure of Y5Th2Sc2 from Alexandria. Energies are from PBE.

The structure in POSCAR format:
```
Y5Th2Sc2
1.0
9.686 0.000 0.000
0.000 5.485 0.000
-4.843 -2.742 10.534
Sc Th Y
4 4 10
Cartesian
3.280 5.080 0.879
3.280 -0.405 9.655
1.563 2.337 0.879
1.563 2.337 9.655
0.000 5.080 0.000
0.473 2.338 5.267
4.843 2.338 0.000
4.370 -0.404 5.267
6.375 2.338 5.267
8.386 2.338 2.360
6.143 -0.405 2.360
1.242 -0.405 7.247
-1.300 2.338 8.174
1.242 -0.405 3.287
3.601 2.338 7.247
-3.543 -0.405 8.174
-1.532 -0.404 5.267
3.601 2.338 3.287
```

Output
**Symmetry**: Imma, No. 74
**E**: -6.515 eV per atom
**Formation energy**: 132 meV per atom

=====

> The lowest formation energy belongs to which entry?

Y5Th2Sc2

=====

Copy entry 2 word for word.
Here is an optimized crystal structure of Y5Th2Sc2 from Alexandria. Energies are from PBE.

The structure in POSCAR format:
```
Y5Th2Sc2
1.0
9.686 0.000 0.000
0.000 5.485 0.000
-4.843 -2.742 10.534
Sc Th Y
4 4 10
Cartesian
3.280 5.080 0.879
3.280 -0.405 9.655
1.563 2.337 0.879
1.563 2.337 9.655
0.000 5.080 0.000
0.473 2.338 5.267
4.843 2.338 0.000
4.370 -0.404 5.267
6.375 2.338 5.267
8.386 2.338 2.360
6.143 -0.405 2.360
1.242 -0.405 7.247
-1.300 2.338 8.174
1.242 -0.405 3.287
3.601 2.338 7.247
-3.543 -0.405 8.174
-1.532 -0.404 5.267
3.601 2.338 3.287
```

Output
**Symmetry**: Imma, No. 74
**E**: -6.515 eV per atom
**Formation energy**: 132 meV per atom

=====

> What is the formula in the second record?

Y5Th2Sc2